Computed, not measured: CsCdPdBr6 after structural relaxation at the PBE level of DFT.

Calculated values
- total energy (eV/atom) = -2.67
- total moment (μB/f.u.) = 0.99
- DOS(E_F) (states/eV/atom) = 0.052
- crystal system = triclinic

Structure (CIF):
```
data_CsCdPdBr6
_chemical_formula_sum 'Cs1 Cd1 Pd1 Br6'
_space_group_name_H-M_alt 'P 1'
_space_group_IT_number 1
_cell_length_a 6.930
_cell_length_b 6.936
_cell_length_c 8.179
_cell_angle_alpha 91.34
_cell_angle_beta 91.51
_cell_angle_gamma 116.89
loop_
_space_group_symop_operation_xyz
'x,y,z'
loop_
_atom_site_label
_atom_site_type_symbol
_atom_site_fract_x
_atom_site_fract_y
_atom_site_fract_z
_atom_site_occupancy
Cs1 Cs 0.000 0.000 0.000 1
Cd1 Cd 0.327 0.674 0.500 1
Pd1 Pd 0.672 0.328 0.500 1
Br1 Br 0.383 0.347 0.321 1
Br2 Br 0.394 0.015 0.706 1
Br3 Br 0.648 0.015 0.323 1
Br4 Br 0.654 0.616 0.679 1
Br5 Br 0.985 0.607 0.294 1
Br6 Br 0.986 0.352 0.676 1
```


Computed, not measured: CsPmCd2Br8 after structural relaxation at the PBE level of DFT.

Calculated values
- total energy (eV/atom) = -3.05
- total moment (μB/f.u.) = 0.00
- DOS(E_F) (states/eV/atom) = 0.000
- crystal system = triclinic

Structure (CIF):
```
data_CsPmCd2Br8
_chemical_formula_sum 'Cs1 Pm1 Cd2 Br8'
_space_group_name_H-M_alt 'P -1'
_space_group_IT_number 2
_cell_length_a 7.084
_cell_length_b 7.204
_cell_length_c 10.114
_cell_angle_alpha 73.46
_cell_angle_beta 76.17
_cell_angle_gamma 74.55
loop_
_space_group_symop_operation_xyz
'x,y,z'
'-x,-y,-z'
loop_
_atom_site_label
_atom_site_type_symbol
_atom_site_fract_x
_atom_site_fract_y
_atom_site_fract_z
_atom_site_occupancy
Cs1 Cs 0.000 0.000 0.000 1
Pm1 Pm 0.000 0.000 0.500 1
Cd1 Cd 0.456 0.443 0.218 1
Br1 Br 0.164 0.703 0.732 1
Br2 Br 0.261 0.794 0.296 1
Br3 Br 0.281 0.238 0.470 1
Br4 Br 0.389 0.285 0.030 1
```


Computed, not measured: Cs2PrCdBr6 after structural relaxation at the PBE level of DFT.

Calculated values
- total energy (eV/atom) = -3.27
- total moment (μB/f.u.) = 0.00
- DOS(E_F) (states/eV/atom) = 0.398
- crystal system = orthorhombic

Structure (CIF):
```
data_Cs2PrCdBr6
_chemical_formula_sum 'Cs4 Pr2 Cd2 Br12'
_space_group_name_H-M_alt 'P m m n'
_space_group_IT_number 59
_cell_length_a 8.421
_cell_length_b 11.880
_cell_length_c 8.419
_cell_angle_alpha 90.00
_cell_angle_beta 90.00
_cell_angle_gamma 90.00
loop_
_space_group_symop_operation_xyz
'x,y,z'
'-x,-y,-z'
'-x+1/2,-y+1/2,z'
'x+1/2,y+1/2,-z'
'x+1/2,-y,-z'
'-x+1/2,y,z'
'-x,y+1/2,-z'
'x,-y+1/2,z'
loop_
_atom_site_label
_atom_site_type_symbol
_atom_site_fract_x
_atom_site_fract_y
_atom_site_fract_z
_atom_site_occupancy
Cs1 Cs 0.250 0.000 0.249 1
Pr1 Pr 0.250 0.250 0.748 1
Cd1 Cd 0.250 0.750 0.752 1
Br1 Br 0.004 0.250 0.992 1
Br2 Br 0.006 0.250 0.502 1
Br3 Br 0.250 0.005 0.749 1
```


> What is the total moment in the third record?

0.00 μB/f.u.


> Which of these has the highest total energy?

CsCdPdBr6


> What is the DOS(E_F) in the first record?

0.052 states/eV/atom